Here is a geometry-optimized PmInPbAu structure from Alexandria via LeMat-Bulk. Energies are from GGA-PBE.

a = 5.2877 Å, b = 5.2877 Å, c = 5.2877 Å
α = 60.00°, β = 60.00°, γ = 60.00°
Last column: nearest neighbours and their distance in Å.
Atoms (fractional coordinates):
1 Pm 0.0000 0.0000 0.0000  4 In 3.24, 4 Au 3.24
2 In 0.7500 0.7500 0.7500  4 Pb 3.24, 4 Pm 3.24
3 Pb 0.5000 0.5000 0.5000  4 In 3.24, 4 Au 3.24
4 Au 0.2500 0.2500 0.2500  4 Pb 3.24, 4 Pm 3.24

volume	105	Å³/f.u.
calculated formation energy	-343	meV per atom


Here is a geometry-optimized La8Pt3SeI4 structure from Alexandria via LeMat-Bulk. Energies are from GGA-PBE.

a = 9.4440 Å, b = 9.4440 Å, c = 9.4440 Å
α = 54.92°, β = 54.92°, γ = 54.92°
Last column: nearest neighbours and their distance in Å.
Atoms (fractional coordinates):
1 La 0.2255 0.7381 0.7381  2 Pt 2.96, 1 Se 3.04
2 La 0.2290 0.2290 0.2290  3 Pt 2.92
3 La 0.2619 0.2619 0.7745  2 Pt 2.96, 1 Se 3.04
4 La 0.2619 0.7745 0.2619  2 Pt 2.96, 1 Se 3.04
5 La 0.7381 0.2255 0.7381  2 Pt 2.96, 1 Se 3.04
6 La 0.7381 0.7381 0.2255  2 Pt 2.96, 1 Se 3.04
7 La 0.7710 0.7710 0.7710  3 Pt 2.92
8 La 0.7745 0.2619 0.2619  2 Pt 2.96, 1 Se 3.04
9 Pt 0.0000 0.0000 0.5000  6 La 2.92-2.96
10 Pt 0.0000 0.5000 0.0000  6 La 2.92-2.96
11 Pt 0.5000 0.0000 0.0000  6 La 2.92-2.96
12 Se 0.5000 0.5000 0.5000  6 La 3.04
13 I 0.0000 0.0000 0.0000  6 La 3.42
14 I 0.0000 0.5000 0.5000  6 La 3.49-3.55
15 I 0.5000 0.0000 0.5000  6 La 3.49-3.55
16 I 0.5000 0.5000 0.0000  6 La 3.49-3.55

volume	525	Å³/f.u.
energy relative to the elements, uncorrected	-1.265	eV per atom


Here is a geometry-optimized KBa2Pb2 structure from Alexandria via LeMat-Bulk. Energies are from GGA-PBE.

a = 10.6947 Å, b = 10.6947 Å, c = 3.7373 Å
α = 90.00°, β = 90.00°, γ = 90.00°
Last column: nearest neighbours and their distance in Å.
Atoms (fractional coordinates):
1 K 0.0000 0.0000 0.0000  2 K 3.74
2 K 0.5000 0.5000 0.0000  2 K 3.74
3 Ba 0.1264 0.3736 0.0000  6 Pb 3.58-3.73, 3 Ba 3.74-3.82
4 Ba 0.3736 0.8736 0.0000  6 Pb 3.58-3.73, 3 Ba 3.74-3.82
5 Ba 0.6264 0.1264 0.0000  6 Pb 3.58-3.73, 3 Ba 3.74-3.82
6 Ba 0.8736 0.6264 0.0000  6 Pb 3.58-3.73, 3 Ba 3.74-3.82
7 Pb 0.1715 0.6715 0.5000  6 Ba 3.58-3.73, 2 Pb 3.74
8 Pb 0.3285 0.1715 0.5000  6 Ba 3.58-3.73, 2 Pb 3.74
9 Pb 0.6715 0.8285 0.5000  6 Ba 3.58-3.73, 2 Pb 3.74
10 Pb 0.8285 0.3285 0.5000  6 Ba 3.58-3.73, 2 Pb 3.74

volume	214	Å³/f.u.
calculated formation energy	-358	meV per atom
ΔE to the lowest computed polymorph	0.950	kcal/mol of atoms